1.
Compound: Sc3AgN
Source: the Alexandria database
Functional: PBE-GGA
Structure: relaxed

abc: 9.215 9.215 4.423
angles: 90.00 90.00 120.00
Atoms (fractional coordinates):
Sc  0.207  0.414  0.000
Sc  0.207  0.793  0.000
Sc  0.253  0.126  0.333
Sc  0.540  0.080  0.667
Sc  0.540  0.460  0.667
Sc  0.586  0.793  0.000
Sc  0.874  0.126  0.333
Sc  0.874  0.747  0.333
Sc  0.920  0.460  0.667
Ag  0.000  0.000  0.846
Ag  0.333  0.667  0.513
Ag  0.667  0.333  0.180
N  0.000  0.000  0.350
N  0.333  0.667  0.017
N  0.667  0.333  0.684

Computed properties:
The uncorrected formation energy comes out at -0.179 eV/atom. As for the energy above the lowest structure with this stoichiometry: 3.70 eV per formula unit. Its space-group type is R3m, No. 160.

=====

2.
Compound: Nd2SmSi6
Source: the Alexandria database
Functional: PBE-GGA
Structure: relaxed

abc: 7.158 7.158 4.142
angles: 90.00 90.00 120.00
Atoms (fractional coordinates):
Nd  0.333  0.667  0.000
Nd  0.667  0.333  0.000
Sm  0.000  0.000  0.000
Si  0.000  0.332  0.500
Si  0.000  0.668  0.500
Si  0.332  0.000  0.500
Si  0.332  0.332  0.500
Si  0.668  0.000  0.500
Si  0.668  0.668  0.500

Computed properties:
The uncorrected formation energy comes out at -0.572 eV/atom. Its space-group type is P6/mmm, No. 191.

=====

3.
Compound: FeHI3
Source: the Alexandria database
Functional: PBE-GGA
Structure: relaxed

abc: 5.517 5.517 5.517
angles: 90.00 90.00 90.00
Atoms (fractional coordinates):
Fe  0.000  0.000  0.000
H  0.500  0.500  0.500
I  0.000  0.000  0.500
I  0.000  0.500  0.000
I  0.500  0.000  0.000

Computed properties:
As for the energy above the lowest structure with this stoichiometry: 2.91 eV per formula unit. Its space-group type is Pm-3m, No. 221.

=====

4.
Compound: Cd2AsP
Source: the Alexandria database
Functional: PBE-GGA
Structure: relaxed

abc: 10.634 2.906 5.262
angles: 90.00 93.77 90.00
Atoms (fractional coordinates):
Cd  0.249  0.000  0.253
Cd  0.251  0.500  0.747
Cd  0.749  0.500  0.253
Cd  0.751  0.000  0.747
As  0.000  0.500  0.000
As  0.500  0.000  0.000
P  0.000  0.000  0.500
P  0.500  0.500  0.500

Computed properties:
As for the energy above the lowest structure with this stoichiometry: 1.14 eV per formula unit. Its space-group type is C2/m, No. 12. The calculated formation energy is 0.363 eV per atom.

=====

5.
Compound: K5BaNa6
Source: the Alexandria database
Functional: PBE-GGA
Structure: relaxed

abc: 10.684 10.684 9.285
angles: 90.00 90.00 143.20
Atoms (fractional coordinates):
K  0.000  0.000  0.000
K  0.334  0.666  0.500
K  0.336  0.664  0.000
K  0.664  0.336  0.000
K  0.666  0.334  0.500
Ba  0.000  0.000  0.500
Na  0.166  0.834  0.252
Na  0.166  0.834  0.748
Na  0.500  0.500  0.255
Na  0.500  0.500  0.745
Na  0.834  0.166  0.252
Na  0.834  0.166  0.748

Computed properties:
Its space-group type is Cmmm, No. 65. The calculated formation energy is 0.029 eV per atom.

=====

6.
Compound: SrRuW2
Source: the Alexandria database
Functional: PBE-GGA
Structure: relaxed

abc: 3.897 3.897 9.944
angles: 90.00 90.00 90.00
Atoms (fractional coordinates):
Sr  0.000  0.000  0.000
Sr  0.500  0.500  0.500
Ru  0.000  0.000  0.500
Ru  0.500  0.500  0.000
W  0.000  0.500  0.250
W  0.000  0.500  0.750
W  0.500  0.000  0.250
W  0.500  0.000  0.750

Computed properties:
As for the energy above the lowest structure with this stoichiometry: 2.19 eV per formula unit. Its space-group type is I4/mmm, No. 139. The calculated formation energy is 1.210 eV per atom.

=====

7.
Compound: BaMn
Source: the Alexandria database
Functional: PBE-GGA
Structure: relaxed

abc: 4.272 4.272 4.902
angles: 90.00 90.00 120.00
Atoms (fractional coordinates):
Ba  0.000  0.000  0.000
Mn  0.667  0.333  0.500

Computed properties:
Its space-group type is P-6m2, No. 187. The calculated formation energy is 0.912 eV per atom.

=====

8.
Compound: PaNb2Te4Se2
Source: the Alexandria database
Functional: PBE-GGA
Structure: relaxed

abc: 3.778 3.778 22.359
angles: 90.00 90.00 120.00
Atoms (fractional coordinates):
Pa  0.000  0.000  0.000
Nb  0.000  0.000  0.653
Nb  0.667  0.333  0.329
Te  0.000  0.000  0.247
Te  0.000  0.000  0.410
Te  0.667  0.333  0.572
Te  0.667  0.333  0.735
Se  0.667  0.333  0.081
Se  0.667  0.333  0.919

Computed properties:
The uncorrected formation energy comes out at -0.687 eV/atom. Its space-group type is P3m1, No. 156.

=====

9.
Compound: LuTh2Ti
Source: the Alexandria database
Functional: PBE-GGA
Structure: relaxed

abc: 3.587 3.587 8.622
angles: 90.00 90.00 90.00
Atoms (fractional coordinates):
Lu  0.000  0.000  0.000
Th  0.500  0.500  0.277
Th  0.500  0.500  0.723
Ti  0.000  0.000  0.500

Computed properties:
As for the energy above the lowest structure with this stoichiometry: 0.00 eV per formula unit. Its space-group type is P4/mmm, No. 123. The calculated formation energy is 0.122 eV per atom.

=====

10.
Compound: AcEr2In
Source: the Alexandria database
Functional: PBE-GGA
Structure: relaxed

abc: 5.020 5.020 4.992
angles: 90.00 90.00 90.00
Atoms (fractional coordinates):
Ac  0.000  0.000  0.000
Er  0.000  0.500  0.500
Er  0.500  0.000  0.500
In  0.500  0.500  0.000

Computed properties:
As for the energy above the lowest structure with this stoichiometry: 0.16 eV per formula unit. Its space-group type is P4/mmm, No. 123. The calculated formation energy is -0.161 eV per atom.

=====

11.
Compound: Mn4ReNi
Source: the Alexandria database
Functional: PBE-GGA
Structure: relaxed

abc: 4.628 4.628 4.628
angles: 60.00 60.00 60.00
Atoms (fractional coordinates):
Mn  0.377  0.377  0.377
Mn  0.377  0.377  0.870
Mn  0.377  0.870  0.377
Mn  0.870  0.377  0.377
Re  0.000  0.000  0.000
Ni  0.750  0.750  0.750

Computed properties:
Its space-group type is F-43m, No. 216. The calculated formation energy is 0.065 eV per atom.

=====

12.
Compound: Cs2Li2CaBr6
Source: the Alexandria database
Functional: PBE-GGA
Structure: relaxed

abc: 7.942 7.942 8.506
angles: 112.92 112.92 60.45
Atoms (fractional coordinates):
Cs  0.211  0.211  0.178
Cs  0.789  0.789  0.822
Li  0.431  0.431  0.731
Li  0.569  0.569  0.269
Ca  0.000  0.000  0.500
Br  0.208  0.717  0.223
Br  0.235  0.235  0.628
Br  0.283  0.792  0.777
Br  0.717  0.208  0.223
Br  0.765  0.765  0.372
Br  0.792  0.283  0.777

Computed properties:
The uncorrected formation energy comes out at -1.751 eV/atom. Its space-group type is C2/m, No. 12.

=====

Please write out number 11 again, unchanged.
Compound: Mn4ReNi
Source: the Alexandria database
Functional: PBE-GGA
Structure: relaxed

abc: 4.628 4.628 4.628
angles: 60.00 60.00 60.00
Atoms (fractional coordinates):
Mn  0.377  0.377  0.377
Mn  0.377  0.377  0.870
Mn  0.377  0.870  0.377
Mn  0.870  0.377  0.377
Re  0.000  0.000  0.000
Ni  0.750  0.750  0.750

Computed properties:
Its space-group type is F-43m, No. 216. The calculated formation energy is 0.065 eV per atom.